Model w:
An optimized crystal structure of RbHfMg3, computed with PBE.

a = 5.403 Å, b = 5.403 Å, c = 5.403 Å
α = 90.00°, β = 90.00°, γ = 90.00°
Fractional coordinates of all 5 atoms:
Mg 0.000 0.500 0.000
Mg 0.000 0.000 0.500
Mg 0.500 0.000 0.000
Hf 0.500 0.500 0.500
Rb 0.000 0.000 0.000

Values from the calculation:
Total moment: 0.00 Bohr magnetons per cell
DOS at the Fermi energy: 5.18 states/eV/cell
SG: No. 221
V: 31.549 A^3/atom

***

Model x:
An optimized crystal structure of RbHfMg3, computed with PBE.

a = 5.870 Å, b = 5.870 Å, c = 5.870 Å
α = 90.00°, β = 90.00°, γ = 90.00°
Last column: magnetic moment on the atom in μB.
Fractional coordinates of all 5 atoms:
Mg 0.000 0.500 0.000  0.01
Mg 0.000 0.000 0.500  0.01
Mg 0.500 0.000 0.000  0.03
Hf 0.000 0.000 0.000  0.72
Rb 0.500 0.500 0.500  0.01

Values from the calculation:
Total moment: 1.90 Bohr magnetons per cell
DOS at the Fermi energy: 5.52 states/eV/cell
SG: No. 221
V: 40.452 A^3/atom

***

What are the relative energies? In meV/atom: model w 801; model x 0.

***

Model w:
An optimized crystal structure of HfMg2Rh2, computed with PBE.

a = 3.667 Å, b = 3.667 Å, c = 7.071 Å
α = 74.97°, β = 74.97°, γ = 90.00°
Fractional coordinates of all 5 atoms:
Rh 0.399 0.399 0.202
Rh 0.601 0.601 0.798
Mg 0.750 0.250 0.500
Mg 0.250 0.750 0.500
Hf 0.000 0.000 0.000

Values from the calculation:
Total moment: 0.00 Bohr magnetons per cell
DOS at the Fermi energy: 3.10 states/eV/cell
SG: No. 139
V: 17.696 A^3/atom

***

Model x:
An optimized crystal structure of HfMg2Rh2, computed with PBE.

a = 7.320 Å, b = 7.320 Å, c = 3.192 Å
α = 90.00°, β = 90.00°, γ = 90.00°
Fractional coordinates of all 10 atoms:
Rh 0.342 0.842 0.000
Rh 0.842 0.658 0.000
Rh 0.658 0.158 0.000
Rh 0.158 0.342 0.000
Mg 0.140 0.640 0.500
Mg 0.640 0.860 0.500
Mg 0.860 0.360 0.500
Mg 0.360 0.140 0.500
Hf 0.000 0.000 0.000
Hf 0.500 0.500 0.000

Values from the calculation:
Total moment: 0.00 Bohr magnetons per cell
DOS at the Fermi energy: 5.07 states/eV/cell
SG: No. 127
V: 17.100 A^3/atom

***

What are the relative energies? In meV/atom: model w 182; model x 0.

***

Model w:
An optimized crystal structure of HfMg2Rh2, computed with PBE.

a = 3.166 Å, b = 3.226 Å, c = 9.236 Å
α = 79.94°, β = 90.00°, γ = 90.00°
Fractional coordinates of all 5 atoms:
Hf 0.000 0.000 0.000
Mg 0.000 0.175 0.650
Mg 0.000 0.825 0.350
Rh 0.500 0.413 0.173
Rh 0.500 0.587 0.827

Values from the calculation:
Total moment: 0.00 Bohr magnetons per cell
DOS at the Fermi energy: 2.84 states/eV/cell
SG: No. 65
V: 18.580 A^3/atom

***

Model x:
An optimized crystal structure of HfMg2Rh2, computed with PBE.

a = 7.494 Å, b = 7.494 Å, c = 2.974 Å
α = 90.00°, β = 90.00°, γ = 90.00°
Fractional coordinates of all 10 atoms:
Rh 0.179 0.679 0.500
Rh 0.679 0.821 0.500
Rh 0.821 0.321 0.500
Rh 0.321 0.179 0.500
Mg 0.378 0.878 0.000
Mg 0.878 0.622 0.000
Mg 0.622 0.122 0.000
Mg 0.122 0.378 0.000
Hf 0.000 0.000 0.000
Hf 0.500 0.500 0.000

Values from the calculation:
Total moment: 0.00 Bohr magnetons per cell
DOS at the Fermi energy: 7.68 states/eV/cell
SG: No. 127
V: 16.703 A^3/atom

***

What are the relative energies? In meV/atom: model w 0; model x 263.

***

Model w:
An optimized crystal structure of HfMg2Rh, computed with PBE.

a = 4.658 Å, b = 4.658 Å, c = 4.658 Å
α = 60.00°, β = 60.00°, γ = 60.00°
Fractional coordinates of all 4 atoms:
Rh 0.000 0.000 0.000
Mg 0.250 0.250 0.250
Mg 0.750 0.750 0.750
Hf 0.500 0.500 0.500

Values from the calculation:
Total moment: 0.00 Bohr magnetons per cell
DOS at the Fermi energy: 2.43 states/eV/cell
SG: No. 225
V: 17.866 A^3/atom

***

Model x:
An optimized crystal structure of HfMg2Rh, computed with PBE.

a = 7.864 Å, b = 7.864 Å, c = 6.155 Å
α = 50.30°, β = 50.30°, γ = 90.00°
Fractional coordinates of all 8 atoms:
Rh 0.500 0.500 0.000
Rh 0.250 0.750 0.500
Mg 0.569 0.125 0.250
Mg 0.181 0.625 0.250
Mg 0.375 0.431 0.750
Mg 0.875 0.819 0.750
Hf 0.000 0.000 0.000
Hf 0.750 0.250 0.500

Values from the calculation:
Total moment: 0.00 Bohr magnetons per cell
DOS at the Fermi energy: 6.45 states/eV/cell
SG: No. 122
V: 20.403 A^3/atom

***

What are the relative energies? In meV/atom: model w 0; model x 127.

***

Model w:
An optimized crystal structure of HfMg2Ru, computed with PBE.

a = 3.866 Å, b = 3.866 Å, c = 10.748 Å
α = 79.64°, β = 79.64°, γ = 90.00°
Fractional coordinates of all 8 atoms:
Ru 0.500 0.500 0.000
Ru 0.250 0.750 0.500
Mg 0.610 0.125 0.250
Mg 0.140 0.625 0.250
Mg 0.375 0.390 0.750
Mg 0.875 0.860 0.750
Hf 0.000 0.000 0.000
Hf 0.750 0.250 0.500

Values from the calculation:
Total moment: 0.00 Bohr magnetons per cell
DOS at the Fermi energy: 4.61 states/eV/cell
SG: No. 122
V: 19.417 A^3/atom

***

Model x:
An optimized crystal structure of HfMg2Ru, computed with PBE.

a = 4.652 Å, b = 4.652 Å, c = 4.652 Å
α = 60.00°, β = 60.00°, γ = 60.00°
Fractional coordinates of all 4 atoms:
Ru 0.000 0.000 0.000
Mg 0.250 0.250 0.250
Mg 0.750 0.750 0.750
Hf 0.500 0.500 0.500

Values from the calculation:
Total moment: 0.00 Bohr magnetons per cell
DOS at the Fermi energy: 4.58 states/eV/cell
SG: No. 225
V: 17.799 A^3/atom

***

What are the relative energies? In meV/atom: model w 0; model x 6.

***

Model w:
An optimized crystal structure of HfMg2S, computed with PBE.

a = 4.930 Å, b = 4.930 Å, c = 4.930 Å
α = 60.00°, β = 60.00°, γ = 60.00°
Fractional coordinates of all 4 atoms:
S 0.000 0.000 0.000
Hf 0.500 0.500 0.500
Mg 0.250 0.250 0.250
Mg 0.750 0.750 0.750

Values from the calculation:
Total moment: 0.00 Bohr magnetons per cell
DOS at the Fermi energy: 4.10 states/eV/cell
SG: No. 225
V: 21.184 A^3/atom

***

Model x:
An optimized crystal structure of HfMg2S, computed with PBE.

a = 7.939 Å, b = 7.939 Å, c = 6.186 Å
α = 50.08°, β = 50.08°, γ = 90.00°
Fractional coordinates of all 8 atoms:
S 0.500 0.500 0.000
S 0.250 0.750 0.500
Hf 0.000 0.000 0.000
Hf 0.750 0.250 0.500
Mg 0.562 0.125 0.250
Mg 0.188 0.625 0.250
Mg 0.375 0.438 0.750
Mg 0.875 0.812 0.750

Values from the calculation:
Total moment: 0.00 Bohr magnetons per cell
DOS at the Fermi energy: 4.42 states/eV/cell
SG: No. 122
V: 20.472 A^3/atom

***

What are the relative energies? In meV/atom: model w 665; model x 0.

***

Model w:
An optimized crystal structure of HfMg3S, computed with PBE.

a = 5.664 Å, b = 5.664 Å, c = 5.664 Å
α = 90.00°, β = 90.00°, γ = 90.00°
Fractional coordinates of all 5 atoms:
S 0.500 0.500 0.500
Hf 0.000 0.000 0.000
Mg 0.000 0.500 0.000
Mg 0.000 0.000 0.500
Mg 0.500 0.000 0.000

Values from the calculation:
Total moment: 0.00 Bohr magnetons per cell
DOS at the Fermi energy: 3.43 states/eV/cell
SG: No. 221
V: 36.339 A^3/atom

***

Model x:
An optimized crystal structure of HfMg3S, computed with PBE.

a = 4.868 Å, b = 4.868 Å, c = 4.868 Å
α = 90.00°, β = 90.00°, γ = 90.00°
Last column: magnetic moment on the atom in μB.
Fractional coordinates of all 5 atoms:
S 0.000 0.000 0.000  0.06
Hf 0.500 0.500 0.500  0.46
Mg 0.000 0.500 0.000  0.01
Mg 0.000 0.000 0.500  0.00
Mg 0.500 0.000 0.000  0.01

Values from the calculation:
Total moment: 1.03 Bohr magnetons per cell
DOS at the Fermi energy: 8.55 states/eV/cell
SG: No. 221
V: 23.076 A^3/atom

***

What are the relative energies? In meV/atom: model w 1097; model x 0.

***

Model w:
An optimized crystal structure of HfMg14Sb, computed with PBE.

a = 6.400 Å, b = 6.400 Å, c = 10.266 Å
α = 90.00°, β = 90.00°, γ = 120.00°
Fractional coordinates of all 16 atoms:
Hf 0.000 0.000 0.500
Mg 0.997 0.498 0.000
Mg 0.007 0.503 0.500
Mg 0.502 0.003 0.000
Mg 0.497 0.993 0.500
Mg 0.502 0.498 0.000
Mg 0.497 0.503 0.500
Mg 0.163 0.837 0.253
Mg 0.163 0.837 0.747
Mg 0.163 0.325 0.253
Mg 0.163 0.325 0.747
Mg 0.675 0.837 0.253
Mg 0.675 0.837 0.747
Mg 0.667 0.333 0.255
Mg 0.667 0.333 0.745
Sb 0.000 0.000 0.000

Values from the calculation:
Total moment: 0.00 Bohr magnetons per cell
DOS at the Fermi energy: 7.90 states/eV/cell
SG: No. 187
V: 22.762 A^3/atom

***

Model x:
An optimized crystal structure of HfMg14Sb, computed with PBE.

a = 6.378 Å, b = 6.378 Å, c = 10.457 Å
α = 90.00°, β = 90.00°, γ = 121.64°
Fractional coordinates of all 16 atoms:
Hf 0.332 0.668 0.500
Mg 0.832 0.168 0.000
Mg 0.331 0.669 0.000
Mg 0.330 0.166 0.500
Mg 0.331 0.168 0.000
Mg 0.834 0.670 0.500
Mg 0.832 0.669 0.000
Mg 0.173 0.336 0.250
Mg 0.173 0.336 0.750
Mg 0.664 0.827 0.250
Mg 0.664 0.827 0.750
Mg 0.667 0.333 0.248
Mg 0.667 0.333 0.752
Mg 0.171 0.829 0.251
Mg 0.171 0.829 0.749
Sb 0.830 0.170 0.500

Values from the calculation:
Total moment: 0.00 Bohr magnetons per cell
DOS at the Fermi energy: 7.40 states/eV/cell
SG: No. 38
V: 22.635 A^3/atom

***

What are the relative energies? In meV/atom: model w 6; model x 0.